1.
VASP calculation (PBE) on a relaxed structure of Ce6AgIr2.

Cell: 4.7931 5.6704 8.8369 Å, 96.34 90.00 115.00°
Last column: nearest neighbours and their distance in Å.
Element x y z (fractional)
1 Ce 0.0572 0.1145 0.8568  3 Ce 2.92-2.93, 3 Ir 2.97-2.98, 1 Ag 3.14
2 Ce 0.6085 0.2169 0.1777  2 Ce 2.93, 3 Ir 2.99-3.03
3 Ce 0.3915 0.7831 0.8223  2 Ce 2.93, 3 Ir 2.99-3.03
4 Ce 0.6973 0.3946 0.5816  1 Ir 2.64
5 Ce 0.3027 0.6054 0.4184  1 Ir 2.64
6 Ce 0.9428 0.8855 0.1432  3 Ce 2.92-2.93, 3 Ir 2.97-2.98, 1 Ag 3.14
7 Ag 0.0000 0.0000 0.5000  8 Ce 3.14-3.28
8 Ir 0.7313 0.4626 0.8824  1 Ce 2.64
9 Ir 0.2687 0.5374 0.1176  1 Ce 2.64

Computed properties:
Its space group is No. 12. The density of states at the Fermi level comes out at 18.1 states/eV/f.u. The final energy is -6.64 eV per atom. Its energy of formation is -0.401 eV/atom. The calculation puts the offset from the most stable computed form at 0.0 meV/atom.

***

2.
VASP calculation (PBE) on a relaxed structure of CuRuCl2.

Cell: 3.0732 6.1978 3.8117 Å, 90.00 90.00 90.00°
Last column: nearest neighbours and their distance in Å.
Element x y z (fractional)
1 Ru 0.0000 0.5000 0.5000  4 Cl 2.45
2 Cu 0.5000 0.0000 0.5000  4 Cl 2.45
3 Cl 0.0000 0.0000 0.0000  4 Cu 2.45
4 Cl 0.5000 0.5000 0.0000  4 Ru 2.45

Computed properties:
Its space group is No. 47. The density of states at the Fermi level comes out at 3.6 states/eV/f.u. The formation energy from raw total energies is 447 meV per atom. The final energy is -3.82 eV per atom. The calculation puts the offset from the most stable computed form at 415.4 meV/atom.

***

3.
VASP calculation (PBE) on a relaxed structure of Tl2InSn.

Cell: 3.3632 3.3632 12.2294 Å, 82.10 82.10 60.00°
Last column: nearest neighbours and their distance in Å.
Element x y z (fractional)
1 Tl 0.0875 0.0875 0.7375  1 Sn 3.17, 6 Tl 3.36, 3 In 3.46
2 Tl 0.9125 0.9125 0.2625  1 Sn 3.17, 6 Tl 3.36, 3 In 3.46
3 Sn 0.0000 0.0000 0.0000  2 Tl 3.17, 6 Sn 3.36
4 In 0.5000 0.5000 0.5000  6 In 3.36, 6 Tl 3.46

Computed properties:
Its space group is No. 166. The density of states at the Fermi level comes out at 3.1 states/eV/f.u. The final energy is -2.79 eV per atom. Its energy of formation is 0.076 eV/atom. The calculation puts the offset from the most stable computed form at 54.8 meV/atom.

***

4.
VASP calculation (PBE) on a relaxed structure of K2SiSnO4.

Cell: 5.7171 6.2113 7.7188 Å, 90.00 90.00 90.00°
Last column: nearest neighbours and their distance in Å.
Element x y z (fractional)
1 K 0.4999 0.2718 0.2356  7 O 2.82-2.96
2 K 0.4999 0.2718 0.7644  7 O 2.82-2.96
3 K 0.9999 0.7282 0.7356  7 O 2.82-2.96
4 K 0.9999 0.7282 0.2644  7 O 2.82-2.96
5 Si 0.5000 0.8533 0.5000  4 O 1.64-1.68
6 Si 0.0000 0.1467 0.0000  4 O 1.64-1.68
7 Sn 0.9999 0.2447 0.5000  2 O 2.08
8 Sn 0.4999 0.7553 0.0000  2 O 2.08
9 O 0.2369 0.9873 0.0000  1 Si 1.68
10 O 0.7369 0.0127 0.5000  1 Si 1.68
11 O 0.2640 0.0139 0.5000  1 Si 1.68
12 O 0.7640 0.9861 0.0000  1 Si 1.68
13 O 0.4997 0.7128 0.6800  1 Si 1.64
14 O 0.9997 0.2872 0.1800  1 Si 1.64
15 O 0.9997 0.2872 0.8200  1 Si 1.64
16 O 0.4997 0.7128 0.3200  1 Si 1.64

Computed properties:
Its space group is No. 59. The density of states at the Fermi level comes out at 0.0 states/eV/f.u. The formation energy from raw total energies is -2026 meV per atom. The final energy is -5.96 eV per atom.